This record from Alexandria describes an optimized crystal structure of EuZrPd2. The functional is PBE.

The formation enthalpy at 0 K comes out at -0.53 eV per atom. As for the density of states at the Fermi level: 2.40 states/eV/atom.

It has space group P4/mmm (No. 123), with a = 5.106 Å, b = 5.106 Å, c = 3.183 Å, α = 90.00°, β = 90.00° and γ = 90.00°. The inequivalent atoms are Eu at (0.000, 0.000, 0.000), Zr at (0.500, 0.500, 0.000) and Pd at (0.000, 0.500, 0.500).